First-principles (PBE) data for a geometry-optimized Li8Bi2H structure, as listed in Alexandria via LeMat-Bulk.

Summary:
Total energy ... -2.7494 eV/atom

Unit cell a=4.9354 b=5.8881 c=7.8107 alpha=112.20 beta=108.42 gamma=90.00
Closest atoms and distances in Å follow each position.
Element x y z (fractional)
Bi: 0.8244 0.3242 0.6488  10 Li 2.82-3.03
Bi: 0.1756 0.6758 0.3512  10 Li 2.82-3.03
Li: 0.2050 0.2059 0.4100  8 Li 2.89-3.14, 4 Bi 2.95-2.97
Li: 0.3845 0.1211 0.7690  1 H 2.10
Li: 0.6155 0.8789 0.2310  1 H 2.10
Li: 0.9999 0.2442 0.9998  2 Bi 2.82, 2 H 2.86, 8 Li 2.88-3.14
Li: 0.7950 0.7941 0.5900  8 Li 2.89-3.14, 4 Bi 2.95-2.97
Li: 0.0001 0.7558 0.0002  2 Bi 2.82, 2 H 2.86, 8 Li 2.88-3.14
Li: 0.6155 0.3508 0.2309  1 H 2.09
Li: 0.3845 0.6492 0.7691  1 H 2.09
H: 0.5000 0.0000 0.0000  4 Li 2.09-2.10

=====

First-principles (PBE) data for a geometry-optimized Li12Bi3H5 structure, as listed in Alexandria via LeMat-Bulk.

Summary:
Total energy ... -2.8675 eV/atom

Unit cell a=11.8681 b=11.8681 c=11.8681 alpha=109.47 beta=109.47 gamma=109.47
Closest atoms and distances in Å follow each position.
Element x y z (fractional)
Li: 0.8068 0.3098 0.9128  1 H 1.90
Li: 0.3970 0.3940 0.5872  1 H 1.90
Li: 0.5030 0.3098 0.8970  1 H 1.90
Li: 0.8970 0.0872 0.8940  1 H 1.90
Li: 0.6902 0.1932 0.5872  1 H 1.90
Li: 0.3940 0.9970 0.8068  1 H 1.90
Li: 0.3970 0.0030 0.3098  1 H 1.90
Li: 0.6030 0.9970 0.6902  1 H 1.90
Li: 0.4970 0.8068 0.8940  1 H 1.90
Li: 0.6932 0.5872 0.1902  1 H 1.90
Li: 0.4128 0.1060 0.6030  1 H 1.90
Li: 0.3068 0.4128 0.8098  1 H 1.90
Li: 0.1902 0.0872 0.6932  1 H 1.90
Li: 0.8098 0.9128 0.3068  1 H 1.90
Li: 0.0030 0.6060 0.6932  1 H 1.90
Li: 0.9128 0.1030 0.6060  1 H 1.90
Li: 0.0030 0.3970 0.8098  1 H 1.90
Li: 0.5872 0.6932 0.6902  1 H 1.90
Li: 0.0872 0.1902 0.1932  1 H 1.90
Li: 0.1932 0.5030 0.6060  1 H 1.90
Li: 0.1060 0.6932 0.5030  1 H 1.90
Li: 0.1030 0.1902 0.4970  1 H 1.90
Li: 0.6060 0.6030 0.9128  1 H 1.90
Li: 0.6030 0.6060 0.4128  1 H 1.90
Li: 0.1932 0.6902 0.0872  1 H 1.90
Li: 0.1902 0.1030 0.9970  1 H 1.90
Li: 0.9970 0.3940 0.3068  1 H 1.90
Li: 0.8970 0.8098 0.5030  1 H 1.90
Li: 0.4128 0.3068 0.3098  1 H 1.90
Li: 0.3098 0.5030 0.3970  1 H 1.90
Li: 0.8098 0.8970 0.0030  1 H 1.90
Li: 0.4970 0.6902 0.1030  1 H 1.90
Li: 0.3098 0.8068 0.4128  1 H 1.90
Li: 0.0872 0.8970 0.3940  1 H 1.90
Li: 0.8068 0.4970 0.3940  1 H 1.90
Li: 0.1060 0.4128 0.1030  1 H 1.90
Li: 0.6932 0.1060 0.0030  1 H 1.90
Li: 0.9128 0.8098 0.8068  1 H 1.90
Li: 0.5030 0.1932 0.1060  1 H 1.90
Li: 0.5872 0.8940 0.3970  1 H 1.90
Li: 0.6060 0.0030 0.1932  1 H 1.90
Li: 0.3940 0.3970 0.0872  1 H 1.90
Li: 0.8940 0.3068 0.4970  1 H 1.90
Li: 0.6902 0.4970 0.6030  1 H 1.90
Li: 0.3068 0.8940 0.9970  1 H 1.90
Li: 0.1030 0.9128 0.1060  1 H 1.90
Li: 0.8940 0.5872 0.8970  1 H 1.90
Li: 0.9970 0.6030 0.1902  1 H 1.90
H: 0.6250 0.7500 0.8750  4 Li 1.90
H: 0.1250 0.7500 0.3750  4 Li 1.90
H: 0.0000 0.0000 0.5000  6 Li 2.20
H: 0.0000 0.5000 0.5000  6 Li 2.20
H: 0.2500 0.8750 0.1250  4 Li 1.90
H: 0.0000 0.5000 0.0000  6 Li 2.20
H: 0.5000 0.5000 0.5000  6 Li 2.20
H: 0.0000 0.0000 0.0000  6 Li 2.20
H: 0.2500 0.3750 0.6250  4 Li 1.90
H: 0.7500 0.1250 0.8750  4 Li 1.90
H: 0.5000 0.0000 0.5000  6 Li 2.20
H: 0.6250 0.8750 0.2500  4 Li 1.90
H: 0.3750 0.2500 0.1250  4 Li 1.90
H: 0.5000 0.5000 0.0000  6 Li 2.20
H: 0.5000 0.0000 0.0000  6 Li 2.20
H: 0.3750 0.1250 0.7500  4 Li 1.90
H: 0.1250 0.3750 0.2500  4 Li 1.90
H: 0.8750 0.2500 0.6250  4 Li 1.90
H: 0.8750 0.6250 0.7500  4 Li 1.90
H: 0.7500 0.6250 0.3750  4 Li 1.90
Bi: 0.8750 0.7500 0.1250  8 Li 2.75-2.88
Bi: 0.7500 0.8750 0.6250  8 Li 2.75-2.88
Bi: 0.6250 0.2500 0.3750  8 Li 2.75-2.88
Bi: 0.2500 0.6250 0.8750  8 Li 2.75-2.88
Bi: 0.1250 0.2500 0.8750  8 Li 2.75-2.88
Bi: 0.2500 0.1250 0.3750  8 Li 2.75-2.88
Bi: 0.3750 0.6250 0.2500  8 Li 2.75-2.88
Bi: 0.3750 0.7500 0.6250  8 Li 2.75-2.88
Bi: 0.8750 0.1250 0.2500  8 Li 2.75-2.88
Bi: 0.1250 0.8750 0.7500  8 Li 2.75-2.88
Bi: 0.6250 0.3750 0.7500  8 Li 2.75-2.88
Bi: 0.7500 0.3750 0.1250  8 Li 2.75-2.88

=====

First-principles (PBE) data for a geometry-optimized Li12Bi5H2 structure, as listed in Alexandria via LeMat-Bulk.

Summary:
Total energy ... -2.9570 eV/atom

Unit cell a=9.0953 b=7.4829 c=7.0772 alpha=92.48 beta=90.00 gamma=127.43
Closest atoms and distances in Å follow each position.
Element x y z (fractional)
Li: 0.6504 0.7439 0.8603  1 H 1.88
Li: 0.0745 0.1490 0.8804  2 H 1.87
Li: 0.3496 0.2561 0.1397  1 H 1.88
Li: 0.1228 0.7265 0.3731  4 Bi 2.89-3.04, 3 Li 3.08-3.17
Li: 0.6038 0.7265 0.3731  4 Bi 2.89-3.04, 3 Li 3.08-3.17
Li: 0.5191 0.0382 0.1977  2 Bi 2.69-2.73, 3 Li 2.81-2.88
Li: 0.9065 0.2561 0.1397  1 H 1.88
Li: 0.9255 0.8510 0.1196  2 H 1.87
Li: 0.3962 0.2735 0.6269  4 Bi 2.89-3.04, 3 Li 3.08-3.17
Li: 0.4809 0.9618 0.8023  2 Bi 2.69-2.73, 3 Li 2.81-2.88
Li: 0.0935 0.7439 0.8603  1 H 1.88
Li: 0.8772 0.2735 0.6269  4 Bi 2.89-3.04, 3 Li 3.08-3.17
Bi: 0.7190 0.4381 0.4068  5 Li 2.73-2.93
Bi: 0.2990 0.5979 0.0881  4 Li 2.69-2.98
Bi: 0.7010 0.4021 0.9119  4 Li 2.69-2.98
Bi: 0.0000 0.0000 0.5000  6 Li 2.79-2.98
Bi: 0.2810 0.5619 0.5932  5 Li 2.73-2.93
H: 0.1518 0.0000 0.0000  4 Li 1.87-1.88
H: 0.8482 0.0000 0.0000  4 Li 1.87-1.88